# 1
First-principles (PBE) data for an optimized crystal structure of AcPr2Dy6, as listed in Alexandria.

a b c (Å): 11.2088 6.8060 8.8992
angles (deg): 90.00 109.54 90.00
Last column: nearest neighbours and their distance in Å.
Space group C2/m (No. 12)
Asymmetric unit:
Ac: 0.0000 0.0000 0.0000 x2  6 Dy 3.57-3.75, 2 Pr 3.73
Pr: 0.2414 0.0000 0.7966 x4  7 Dy 3.42-3.70, 1 Ac 3.73
Dy: 0.0993 0.2375 0.4036 x8  6 Dy 3.23-3.57, 1 Pr 3.42
Dy: 0.1721 0.5000 0.7658 x4  6 Dy 3.41-3.75, 3 Pr 3.48-3.69, 1 Ac 3.57

Volume = 35.5 A^3/atom
Crystal system = monoclinic


# 2
First-principles (PBE) data for an optimized crystal structure of Ac6Pr3Dy, as listed in Alexandria.

a b c (Å): 12.0524 7.3723 9.9610
angles (deg): 90.00 110.46 90.00
Last column: nearest neighbours and their distance in Å.
Space group C2/m (No. 12)
Asymmetric unit:
Ac: 0.1266 0.0000 0.4138 x4  1 Dy 3.86, 7 Ac 3.97-4.14, 3 Pr 4.19-4.28
Ac: 0.1953 0.2490 0.7994 x8  3 Pr 3.45-3.64, 3 Ac 3.67-3.75
Pr: 0.0000 0.5000 0.5000 x2  4 Ac 3.60, 2 Pr 3.60
Pr: 0.0538 0.5000 0.1661 x4  1 Pr 3.10, 2 Ac 3.45
Dy: 0.0000 0.0000 0.0000 x2  10 Ac 3.86-4.02, 4 Pr 4.00

Volume = 41.5 A^3/atom
Crystal system = monoclinic


# 3
First-principles (PBE) data for an optimized crystal structure of Ac3Pr2Dy3, as listed in Alexandria.

a b c (Å): 10.1905 10.1905 6.8163
angles (deg): 90.00 90.00 120.00
Last column: nearest neighbours and their distance in Å.
Space group P6_3/mcm (No. 193)
Asymmetric unit:
Ac: 0.0000 0.2327 0.2500 x6  5 Dy 3.61-3.87
Pr: 0.3333 0.6667 0.0000 x4  2 Pr 3.41, 6 Dy 3.51
Dy: 0.0000 0.4131 0.7500 x6  4 Pr 3.51, 5 Ac 3.61-3.87, 2 Dy 3.84

Volume = 38.3 A^3/atom
Crystal system = hexagonal


# 4
First-principles (PBE) data for an optimized crystal structure of AcPr2Dy, as listed in Alexandria.

a b c (Å): 3.7587 3.7587 36.4266
angles (deg): 90.00 90.00 120.00
Last column: nearest neighbours and their distance in Å.
Space group R-3m (No. 166, hexagonal axes)
Asymmetric unit:
Ac: 0.0000 0.0000 0.0000 x3  6 Ac 3.76, 6 Pr 3.84
Pr: 0.0000 0.0000 0.2464 x6  3 Dy 3.63, 6 Pr 3.76, 3 Ac 3.84
Dy: 0.0000 0.0000 0.5000 x3  6 Pr 3.63, 6 Dy 3.76

Volume = 37.1 A^3/atom
Crystal system = trigonal


# 5
First-principles (PBE) data for an optimized crystal structure of Ac8Pr4Dy, as listed in Alexandria.

a b c (Å): 5.5149 6.6898 15.9349
angles (deg): 93.76 90.05 114.26
Last column: nearest neighbours and their distance in Å.
Space group P-1 (No. 2)
Asymmetric unit:
Ac: 0.0411 0.0815 0.3852 x2  6 Pr 3.85-3.90, 6 Ac 3.86-3.94
Ac: 0.1920 0.3837 0.9258 x2  4 Pr 3.78-3.90, 5 Ac 3.84-3.92, 3 Dy 3.85-3.86
Ac: 0.2674 0.5344 0.6908 x2  5 Pr 3.84-3.94, 7 Ac 3.86-3.92
Ac: 0.4237 0.8471 0.2269 x2  1 Dy 3.80, 4 Pr 3.85-3.93, 7 Ac 3.87-3.94
Pr: 0.1129 0.2262 0.1510 x2  10 Ac 3.78-3.94, 2 Dy 3.85
Pr: 0.3478 0.6958 0.4624 x2  3 Pr 3.81-3.90, 9 Ac 3.84-3.93
Dy: 0.5000 0.0000 0.0000 x1  8 Ac 3.80-3.86, 4 Pr 3.85

Volume = 41.1 A^3/atom
Crystal system = triclinic


# 6
First-principles (PBE) data for an optimized crystal structure of AcPr15Dy4, as listed in Alexandria.

a b c (Å): 5.2320 5.2320 26.0620
angles (deg): 90.00 90.00 90.00
Last column: nearest neighbours and their distance in Å.
Space group P4/mmm (No. 123)
Asymmetric unit:
Ac: 0.0000 0.0000 0.0000 x1  12 Pr 3.70-3.79
Pr: 0.0000 0.5000 0.1051 x4  2 Dy 3.67, 8 Pr 3.69-3.79, 2 Ac 3.79
Pr: 0.0000 0.5000 0.3027 x4  8 Pr 3.65-3.70, 4 Dy 3.67
Pr: 0.0000 0.5000 0.5000 x2  4 Dy 3.67, 8 Pr 3.67-3.70
Pr: 0.5000 0.5000 0.0000 x1  4 Ac 3.70, 8 Pr 3.79
Pr: 0.5000 0.5000 0.2047 x2  8 Pr 3.65-3.69, 4 Dy 3.70
Pr: 0.5000 0.5000 0.4014 x2  8 Pr 3.67, 4 Dy 3.70
Dy: 0.0000 0.0000 0.2037 x2  12 Pr 3.67-3.70
Dy: 0.0000 0.0000 0.4014 x2  12 Pr 3.67-3.70

Volume = 35.7 A^3/atom
Crystal system = tetragonal


# 7
First-principles (PBE) data for an optimized crystal structure of Ac5Pr2Dy6, as listed in Alexandria.

a b c (Å): 11.8836 21.7851 3.7841
angles (deg): 90.00 90.00 90.00
Last column: nearest neighbours and their distance in Å.
Space group Pbam (No. 55)
Asymmetric unit:
Ac: 0.0000 0.0000 0.0000 x2  6 Dy 3.44-3.72, 2 Ac 3.78
Ac: 0.0776 0.4278 0.0000 x4  3 Ac 3.65-3.78, 2 Pr 3.71, 4 Dy 3.84-3.85
Ac: 0.1429 0.7211 0.0000 x4  4 Dy 3.57-3.95, 4 Pr 3.65-3.66, 2 Ac 3.78
Pr: 0.1193 0.2831 0.5000 x4  3 Dy 3.41-3.47, 6 Ac 3.65-3.71, 2 Pr 3.78
Dy: 0.0858 0.1510 0.0000 x4  2 Ac 3.44-3.57, 2 Pr 3.47, 6 Dy 3.50-3.78
Dy: 0.1553 0.8800 0.5000 x4  1 Pr 3.41, 4 Dy 3.50-3.78, 2 Ac 3.72
Dy: 0.2272 0.5582 0.5000 x4  4 Dy 3.55-3.78, 4 Ac 3.85-3.96

Volume = 37.7 A^3/atom
Crystal system = orthorhombic


# 8
First-principles (PBE) data for an optimized crystal structure of Ac7PrDy4, as listed in Alexandria.

a b c (Å): 7.0157 7.0851 10.0036
angles (deg): 90.84 103.80 95.19
Last column: nearest neighbours and their distance in Å.
Space group P-1 (No. 2)
Asymmetric unit:
Ac: 0.0000 0.0000 0.0000 x1  4 Dy 3.52-3.82, 2 Pr 3.54, 2 Ac 3.89
Ac: 0.1999 0.3623 0.5934 x2  5 Dy 3.59-3.86, 4 Ac 3.70-3.86
Ac: 0.2952 0.8336 0.3723 x2  5 Dy 3.68-4.04, 5 Ac 3.72-4.05
Ac: 0.4883 0.2469 0.9378 x2  6 Ac 3.70-4.05, 4 Dy 3.70-3.90, 1 Pr 3.77
Pr: 0.0000 0.5000 0.0000 x1  4 Ac 3.54-3.77, 2 Dy 3.56
Dy: 0.1640 0.8479 0.7133 x2  7 Ac 3.52-3.86, 2 Dy 3.63-3.82
Dy: 0.3608 0.3274 0.2712 x2  1 Pr 3.56, 7 Ac 3.59-3.90, 2 Dy 3.63-3.82

Volume = 40.0 A^3/atom
Crystal system = triclinic


# 9
First-principles (PBE) data for an optimized crystal structure of Ac2PrDy, as listed in Alexandria.

a b c (Å): 3.7392 3.7392 39.6122
angles (deg): 90.00 90.00 120.00
Last column: nearest neighbours and their distance in Å.
Space group R-3m (No. 166, hexagonal axes)
Asymmetric unit:
Ac: 0.0000 0.0000 0.0874 x6  1 Dy 3.46, 6 Ac 3.74, 3 Pr 3.81
Pr: 0.0000 0.0000 0.5000 x3  6 Pr 3.74, 6 Ac 3.81
Dy: 0.0000 0.0000 0.0000 x3  2 Ac 3.46, 6 Dy 3.74

Volume = 40.0 A^3/atom
Crystal system = trigonal


# 10
First-principles (PBE) data for an optimized crystal structure of AcPr6Dy3, as listed in Alexandria.

a b c (Å): 10.0555 15.2577 9.3634
angles (deg): 90.00 90.00 90.00
Last column: nearest neighbours and their distance in Å.
Space group Cmc2_1 (No. 36)
Asymmetric unit:
Ac: 0.0000 0.1939 0.0000 x4  4 Dy 3.59-4.01, 4 Pr 3.66-3.90
Pr: 0.0000 0.2635 0.6256 x4  3 Dy 3.38-3.57, 3 Pr 3.41-3.55, 1 Ac 3.66
Pr: 0.0000 0.4378 0.8767 x4  4 Dy 3.37-3.56, 3 Pr 3.42-3.55
Pr: 0.1775 0.3516 0.2269 x8  4 Pr 3.41-3.81, 3 Dy 3.45-3.68, 1 Ac 3.67
Pr: 0.1790 0.1348 0.3977 x8  5 Pr 3.41-3.67, 4 Dy 3.45-3.75
Dy: 0.0000 0.0355 0.7099 x4  7 Pr 3.57-3.75, 2 Dy 3.57, 1 Ac 3.64
Dy: 0.2077 0.4345 0.5685 x8  7 Pr 3.37-3.63, 1 Dy 3.57, 1 Ac 3.59

Volume = 35.9 A^3/atom
Crystal system = orthorhombic


# 11
First-principles (PBE) data for an optimized crystal structure of Ac12PrDy3, as listed in Alexandria.

a b c (Å): 5.5022 5.5022 21.9860
angles (deg): 90.00 90.00 90.00
Last column: nearest neighbours and their distance in Å.
Space group P4/mmm (No. 123)
Asymmetric unit:
Ac: 0.0000 0.0000 0.0000 x1  8 Ac 3.88, 4 Dy 3.89
Ac: 0.0000 0.0000 0.2486 x2  8 Ac 3.88, 4 Dy 3.89
Ac: 0.0000 0.0000 0.5000 x1  4 Pr 3.89, 8 Ac 3.92
Ac: 0.0000 0.5000 0.1243 x4  8 Ac 3.88-3.89, 4 Dy 3.88
Ac: 0.0000 0.5000 0.3731 x4  2 Dy 3.88, 8 Ac 3.88-3.92, 2 Pr 3.92
Pr: 0.5000 0.5000 0.5000 x1  12 Ac 3.89-3.92
Dy: 0.5000 0.5000 0.0000 x1  12 Ac 3.88-3.89
Dy: 0.5000 0.5000 0.2486 x2  12 Ac 3.88-3.89

Volume = 41.6 A^3/atom
Crystal system = tetragonal


# 12
First-principles (PBE) data for an optimized crystal structure of Ac2Pr6Dy, as listed in Alexandria.

a b c (Å): 15.7349 10.3267 9.3792
angles (deg): 90.00 117.84 90.00
Last column: nearest neighbours and their distance in Å.
Space group C2/c (No. 15)
Asymmetric unit:
Ac: 0.0922 0.0812 0.1771 x8  6 Pr 3.50-3.87, 2 Ac 3.64-3.74
Pr: 0.0824 0.4222 0.1653 x8  4 Pr 3.36-3.62, 1 Ac 3.52
Pr: 0.1640 0.2532 0.5813 x8  1 Dy 3.60, 9 Pr 3.67-4.02, 4 Ac 3.83-4.02
Pr: 0.2397 0.4100 0.9878 x8  3 Pr 3.32-3.57, 2 Ac 3.50-3.63
Dy: 0.0000 0.2549 0.7500 x4  8 Pr 3.60-3.89, 4 Ac 3.94-3.99

Volume = 37.4 A^3/atom
Crystal system = monoclinic


no.,electronic total energy (eV/atom),formation energy from the elements (eV/atom)
1,-4.4054,0.18
2,-4.1576,0.20
3,-4.2802,0.18
4,-4.5253,0.04
5,-4.3195,0.03
6,-4.6938,0.02
7,-4.3419,0.10
8,-4.2004,0.13
9,-4.1628,0.24
10,-4.5271,0.13
11,-4.2105,0.03
12,-4.5309,0.08